Entry from Alexandria: an optimized crystal structure of DyY6HoTm2 (PBE).

Space-group type: No. 15
Total magnetization (μB per atom): 0.00
Energy of formation from the pure elements (eV/atom): 0.12
VASP energy (eV for the cell shown): -111.40

a b c (Å): 9.561 8.737 8.737
angles (deg): 117.34 94.13 94.13
Atoms (fractional coordinates):
Dy  0.250  0.975  0.025
Dy  0.750  0.025  0.975
Y  0.056  0.121  0.754
Y  0.444  0.246  0.879
Y  0.944  0.879  0.246
Y  0.556  0.754  0.121
Y  0.317  0.984  0.432
Y  0.183  0.568  0.016
Y  0.683  0.016  0.568
Y  0.817  0.432  0.984
Y  0.118  0.707  0.494
Y  0.382  0.506  0.293
Y  0.882  0.293  0.506
Y  0.618  0.494  0.707
Ho  0.250  0.409  0.591
Ho  0.750  0.591  0.409
Tm  0.454  0.804  0.701
Tm  0.046  0.299  0.196
Tm  0.546  0.196  0.299
Tm  0.954  0.701  0.804



Entry from Alexandria: an optimized crystal structure of LaPm3Ga2 (PBE).

Space-group type: No. 12
Total magnetization (μB per atom): 0.00
Energy of formation from the pure elements (eV/atom): -0.35
VASP energy (eV for the cell shown): -54.62
E above lowest polymorph (meV per atom): 48.3

a b c (Å): 4.709 10.181 9.122
angles (deg): 123.44 90.00 103.37
Atoms (fractional coordinates):
La  0.881  0.762  0.911
La  0.119  0.238  0.089
Pm  0.319  0.638  0.572
Pm  0.951  0.903  0.593
Pm  0.647  0.294  0.816
Pm  0.353  0.706  0.184
Pm  0.049  0.097  0.407
Pm  0.681  0.362  0.428
Ga  0.500  0.000  0.856
Ga  0.500  0.000  0.144
Ga  0.772  0.543  0.248
Ga  0.228  0.457  0.752



Entry from Alexandria: an optimized crystal structure of NdUSeS2 (PBE).

Space-group type: No. 107
Total magnetization (μB per atom): 0.60
VASP energy (eV for the cell shown): -33.96

a b c (Å): 4.386 4.386 7.403
angles (deg): 107.23 107.23 90.00
Atoms (fractional coordinates):
Nd  0.872  0.872  0.744
U  0.133  0.133  0.267
Se  0.502  0.502  0.004
S  0.746  0.246  0.493
S  0.246  0.746  0.493



Entry from Alexandria: an optimized crystal structure of ErCuHgAu (PBE).

Space-group type: No. 216
Total magnetization (μB per atom): 0.00
Energy of formation from the pure elements (eV/atom): -0.38
VASP energy (eV for the cell shown): -13.75

a b c (Å): 4.817 4.817 4.817
angles (deg): 60.00 60.00 60.00
Atoms (fractional coordinates):
Au  0.750  0.750  0.750
Hg  0.000  0.000  0.000
Cu  0.250  0.250  0.250
Er  0.500  0.500  0.500



Entry from Alexandria: an optimized crystal structure of Tc2OsPb (PBE).

Space-group type: No. 123
Total magnetization (μB per atom): 0.15
Energy of formation from the pure elements (eV/atom): 0.80
VASP energy (eV for the cell shown): -32.48

a b c (Å): 4.665 4.665 3.046
angles (deg): 90.00 90.00 90.00
Atoms (fractional coordinates):
Os  0.500  0.000  0.500
Pb  0.000  0.500  0.500
Tc  0.000  0.000  0.000
Tc  0.500  0.500  0.000



Entry from Alexandria: an optimized crystal structure of Y2HoTmTh (PBE).

Space-group type: No. 13
Total magnetization (μB per atom): 0.00
Energy of formation from the pure elements (eV/atom): 0.34
VASP energy (eV for the cell shown): -55.38

a b c (Å): 6.307 8.529 6.274
angles (deg): 95.40 90.00 90.00
Atoms (fractional coordinates):
Y  0.702  0.688  0.778
Y  0.702  0.312  0.722
Y  0.298  0.688  0.278
Y  0.298  0.312  0.222
Ho  0.000  0.000  0.000
Ho  0.000  0.000  0.500
Tm  0.184  0.500  0.750
Tm  0.816  0.500  0.250
Th  0.553  0.000  0.250
Th  0.447  0.000  0.750



Entry from Alexandria: an optimized crystal structure of BaLa2S4 (PBE).

Space-group type: No. 62
Total magnetization (μB per atom): 0.00
VASP energy (eV for the cell shown): -174.34
E above lowest polymorph (meV per atom): 0.0

a b c (Å): 4.318 12.233 15.103
angles (deg): 90.00 90.00 90.00
Atoms (fractional coordinates):
Ba  0.250  0.744  0.344
Ba  0.750  0.256  0.656
Ba  0.250  0.244  0.156
Ba  0.750  0.756  0.844
La  0.750  0.094  0.896
La  0.250  0.906  0.104
La  0.750  0.594  0.604
La  0.250  0.406  0.396
La  0.250  0.432  0.891
La  0.750  0.568  0.109
La  0.250  0.932  0.609
La  0.750  0.068  0.391
S  0.750  0.066  0.083
S  0.250  0.934  0.917
S  0.750  0.566  0.417
S  0.250  0.434  0.583
S  0.750  0.996  0.718
S  0.250  0.004  0.282
S  0.750  0.496  0.782
S  0.250  0.504  0.218
S  0.750  0.358  0.013
S  0.250  0.642  0.987
S  0.750  0.858  0.487
S  0.250  0.142  0.513
S  0.250  0.219  0.816
S  0.750  0.781  0.184
S  0.250  0.719  0.684
S  0.750  0.281  0.316



Entry from Alexandria: an optimized crystal structure of ThGaAu (PBE).

Space-group type: No. 44
Total magnetization (μB per atom): 0.00
Energy of formation from the pure elements (eV/atom): -0.70
VASP energy (eV for the cell shown): -31.66

a b c (Å): 4.609 5.895 5.895
angles (deg): 84.90 66.99 66.99
Atoms (fractional coordinates):
Th  0.000  0.619  0.381
Th  0.500  0.172  0.828
Ga  0.208  0.774  0.810
Ga  0.792  0.190  0.226
Au  0.280  0.033  0.408
Au  0.720  0.592  0.967



no.,mass density (g/cm3)
1,6.20
2,6.76
3,6.75
4,13.20
5,14.86
6,7.35
7,4.52
8,12.24